A plane-wave DFT calculation with PBE was carried out for a geometry-optimized BC structure.

Computed properties:
Polymorph energy (0 for the lowest one) = 212 meV per atom
Volume = 6.74 Å³ per atom
Energy of formation = 0.363 eV/atom
DOS at the Fermi energy = 0.0827 states/eV per atom

Lattice parameters (Å, degrees): 2.5942 2.5942 13.8871 90.00 90.00 120.00
Space group P-3m1 (No. 164)
One atom of each set of equivalent atoms:
B  0.0000  0.0000  0.2088
B  0.3333  0.6667  0.3524
B  0.3333  0.6667  0.8669
C  0.0000  0.0000  0.3192
C  0.3333  0.6667  0.4894
C  0.3333  0.6667  0.9809